1.
The following is a DFT calculation (PBE-GGA) of CaYb3 after structural relaxation.

```
CaYb3
1.0
-1.734 -5.712 -2.548
-1.583 0.103 6.294
-3.376 1.414 -0.872
Ca Yb
1 3
Direct
0.500 0.500 0.257
0.500 0.000 0.755
0.000 0.500 0.755
0.000 0.000 0.255
```

E = -1.73 eV/atom


2.
The following is a DFT calculation (PBE-GGA) of CaYb6 after structural relaxation.

```
CaYb6
1.0
-1.829 -7.733 0.661
5.964 0.884 -5.219
2.252 2.816 7.112
Ca Yb
1 6
Direct
0.000 0.000 0.000
0.250 0.750 0.500
0.500 0.750 0.250
0.250 0.500 0.750
0.750 0.250 0.500
0.500 0.250 0.750
0.750 0.500 0.250
```

E = -0.69 eV/atom


3.
The following is a DFT calculation (PBE-GGA) of Ca6Yb after structural relaxation.

```
Ca6Yb
1.0
8.399 0.000 0.000
-2.800 7.919 0.000
-2.800 -3.959 6.858
Ca Yb
6 1
Direct
0.250 0.750 0.500
0.500 0.750 0.250
0.250 0.500 0.750
0.750 0.250 0.500
0.500 0.250 0.750
0.750 0.500 0.250
0.000 0.000 0.000
```

E = -0.97 eV/atom